Entry 1:
{
  "formula": "K2NiP2",
  "functional": "PBE",
  "state": "relaxed",
  "ef_mev_per_atom": -469,
  "total_magnetization_mub_per_cell": 0.00,
  "sg": "Cmcm, No. 63",
  "relative_energy_mev_per_atom": 0.0,
  "lattice": [[3.218, -6.920, 0.000], [3.218, 6.920, 0.000], [0.000, 0.000, 5.625]],
  "species": ["K", "K", "K", "K", "Ni", "Ni", "P", "P", "P", "P"],
  "frac_coords": [[0.083, 0.917, 0.750], [0.287, 0.713, 0.250], [0.713, 0.287, 0.750], [0.917, 0.083, 0.250], [0.500, 0.500, 0.000], [0.500, 0.500, 0.500], [0.230, 0.430, 0.750], [0.430, 0.230, 0.250], [0.570, 0.770, 0.750], [0.770, 0.570, 0.250]]
}

Entry 2:
{
  "formula": "KNiP2",
  "functional": "PBE",
  "state": "relaxed",
  "ef_mev_per_atom": -121,
  "total_magnetization_mub_per_cell": 0.00,
  "n_ef_per_ev_atom": 0.29,
  "sg": "P4/mmm, No. 123",
  "relative_energy_mev_per_atom": 241.6,
  "lattice": [[3.258, 0.000, 0.000], [0.000, 3.258, 0.000], [0.000, 0.000, 6.819]],
  "species": ["K", "Ni", "P", "P"],
  "frac_coords": [[0.000, 0.000, 0.000], [0.000, 0.000, 0.500], [0.500, 0.500, 0.345], [0.500, 0.500, 0.655]]
}

Entry 3:
{
  "formula": "KNi2P",
  "functional": "PBE",
  "state": "relaxed",
  "ef_mev_per_atom": 85,
  "total_magnetization_mub_per_cell": 0.00,
  "n_ef_per_ev_atom": 0.66,
  "sg": "Pmm2, No. 25",
  "lattice": [[2.780, 0.000, 0.000], [0.000, 3.448, 0.000], [0.000, 0.000, 7.147]],
  "species": ["K", "Ni", "Ni", "P"],
  "frac_coords": [[0.000, 0.000, 0.000], [0.000, 0.000, 0.532], [0.500, 0.500, 0.356], [0.500, 0.500, 0.657]]
}

Entry 4:
{
  "formula": "K2NiP",
  "functional": "PBE",
  "state": "relaxed",
  "ef_mev_per_atom": -146,
  "total_magnetization_mub_per_cell": 0.00,
  "n_ef_per_ev_atom": 0.56,
  "sg": "P2/m, No. 10",
  "lattice": [[4.174, 0.000, 0.000], [0.000, 5.029, 0.000], [-0.209, 0.000, 8.078]],
  "species": ["K", "K", "Ni", "P"],
  "frac_coords": [[0.233, 0.000, 0.217], [0.767, 0.000, 0.783], [0.000, 0.500, 0.000], [0.500, 0.500, 0.000]]
}

Entry 5:
{
  "formula": "KNi4P2",
  "functional": "PBE",
  "state": "relaxed",
  "ef_mev_per_atom": -368,
  "total_magnetization_mub_per_cell": 0.00,
  "n_ef_per_ev_atom": 0.91,
  "sg": "Cmmm, No. 65",
  "lattice": [[1.962, -7.545, 0.000], [1.962, 7.545, 0.000], [0.000, 0.000, 3.919]],
  "species": ["K", "Ni", "Ni", "Ni", "Ni", "P", "P"],
  "frac_coords": [[0.000, 0.000, 0.000], [0.197, 0.803, 0.500], [0.302, 0.698, 0.000], [0.698, 0.302, 0.000], [0.803, 0.197, 0.500], [0.365, 0.635, 0.500], [0.635, 0.365, 0.500]]
}

Entry 6:
{
  "formula": "KNiP2",
  "functional": "PBE",
  "state": "relaxed",
  "ef_mev_per_atom": 751,
  "total_magnetization_mub_per_cell": 0.00,
  "n_ef_per_ev_atom": 0.59,
  "sg": "I-4m2, No. 119",
  "relative_energy_mev_per_atom": 1113.6,
  "lattice": [[-2.070, 2.070, 4.129], [2.070, -2.070, 4.129], [2.070, 2.070, -4.129]],
  "species": ["K", "Ni", "P", "P"],
  "frac_coords": [[0.000, 0.000, 0.000], [0.250, 0.750, 0.500], [0.500, 0.500, 0.000], [0.750, 0.250, 0.500]]
}

Entry 7:
{
  "formula": "K2NiP",
  "functional": "PBE",
  "state": "relaxed",
  "ef_mev_per_atom": 728,
  "total_magnetization_mub_per_cell": 0.50,
  "n_ef_per_ev_atom": 0.92,
  "sg": "R-3m, No. 166",
  "lattice": [[1.616, 0.933, 10.448], [-1.616, 0.933, 10.448], [0.000, -1.866, 10.448]],
  "species": ["K", "K", "Ni", "P"],
  "frac_coords": [[0.249, 0.249, 0.249], [0.751, 0.751, 0.751], [0.000, 0.000, 0.000], [0.500, 0.500, 0.500]]
}

Entry 8:
{
  "formula": "K2NiP",
  "functional": "PBE",
  "state": "relaxed",
  "ef_mev_per_atom": -291,
  "total_magnetization_mub_per_cell": 0.00,
  "n_ef_per_ev_atom": 0.26,
  "sg": "P-6m2, No. 187",
  "lattice": [[5.661, 0.000, 0.000], [-2.830, 4.902, 0.000], [0.000, 0.000, 4.185]],
  "species": ["K", "K", "Ni", "P"],
  "frac_coords": [[0.000, 0.000, 0.000], [0.333, 0.667, 0.500], [0.667, 0.333, 0.000], [0.667, 0.333, 0.500]]
}

Entry 9:
{
  "formula": "K2NiPPb",
  "functional": "PBE",
  "state": "relaxed",
  "ef_mev_per_atom": 791,
  "total_magnetization_mub_per_cell": 1.48,
  "n_ef_per_ev_atom": 0.64,
  "sg": "P4/mmm, No. 123",
  "lattice": [[6.210, 0.000, 0.000], [0.000, 6.210, 0.000], [0.000, 0.000, 4.732]],
  "species": ["K", "K", "Ni", "P", "Pb"],
  "frac_coords": [[0.000, 0.500, 0.000], [0.500, 0.000, 0.000], [0.000, 0.000, 0.500], [0.500, 0.500, 0.500], [0.000, 0.000, 0.000]]
}

Entry 10:
{
  "formula": "K2NiP2Pd",
  "functional": "PBE",
  "state": "relaxed",
  "ef_mev_per_atom": -393,
  "total_magnetization_mub_per_cell": 0.00,
  "n_ef_per_ev_atom": 0.69,
  "sg": "Ibam, No. 72",
  "lattice": [[-2.991, 7.330, 3.010], [2.991, -7.330, 3.010], [2.991, 7.330, -3.010]],
  "species": ["K", "K", "K", "K", "Ni", "Ni", "P", "P", "P", "P", "Pd", "Pd"],
  "frac_coords": [[0.172, 0.242, 0.414], [0.328, 0.742, 0.069], [0.672, 0.258, 0.931], [0.828, 0.758, 0.586], [0.250, 0.750, 0.500], [0.750, 0.250, 0.500], [0.072, 0.722, 0.795], [0.428, 0.222, 0.650], [0.572, 0.778, 0.350], [0.928, 0.278, 0.205], [0.250, 0.250, 0.000], [0.750, 0.750, 0.000]]
}

Entry 11:
{
  "formula": "KNiPPt",
  "functional": "PBE",
  "state": "relaxed",
  "ef_mev_per_atom": -275,
  "total_magnetization_mub_per_cell": 0.00,
  "n_ef_per_ev_atom": 0.69,
  "sg": "P4/nmm, No. 129",
  "lattice": [[3.761, 0.000, 0.000], [0.000, 3.761, 0.000], [0.000, 0.000, 12.093]],
  "species": ["K", "K", "Ni", "Ni", "P", "P", "Pt", "Pt"],
  "frac_coords": [[0.250, 0.250, 0.230], [0.750, 0.750, 0.770], [0.250, 0.750, 0.500], [0.750, 0.250, 0.500], [0.250, 0.250, 0.596], [0.750, 0.750, 0.404], [0.250, 0.750, 0.000], [0.750, 0.250, 0.000]]
}

Entry 12:
{
  "formula": "K2NiP2S6",
  "functional": "PBE",
  "state": "relaxed",
  "total_magnetization_mub_per_cell": 0.68,
  "n_ef_per_ev_atom": 0.23,
  "sg": "R-3m, No. 166",
  "dft_energy_ev_per_cell": -48.76,
  "lattice": [[3.335, 1.926, 6.602], [-3.335, 1.926, 6.602], [0.000, -3.851, 6.602]],
  "species": ["K", "K", "Ni", "P", "P", "S", "S", "S", "S", "S", "S"],
  "frac_coords": [[0.231, 0.231, 0.231], [0.769, 0.769, 0.769], [0.000, 0.000, 0.000], [0.426, 0.426, 0.426], [0.574, 0.574, 0.574], [0.238, 0.760, 0.760], [0.240, 0.240, 0.762], [0.240, 0.762, 0.240], [0.760, 0.238, 0.760], [0.760, 0.760, 0.238], [0.762, 0.240, 0.240]]
}

Entry 13:
{
  "formula": "KNiP2S8",
  "functional": "PBE",
  "state": "relaxed",
  "total_magnetization_mub_per_cell": 0.00,
  "n_ef_per_ev_atom": 0.72,
  "sg": "P-3, No. 147",
  "dft_energy_ev_per_cell": -53.31,
  "lattice": [[5.640, 0.000, 0.000], [-2.820, 4.885, 0.000], [0.000, 0.000, 10.020]],
  "species": ["K", "Ni", "P", "P", "S", "S", "S", "S", "S", "S", "S", "S"],
  "frac_coords": [[0.000, 0.000, 0.000], [0.000, 0.000, 0.500], [0.333, 0.667, 0.703], [0.667, 0.333, 0.297], [0.021, 0.692, 0.357], [0.308, 0.329, 0.357], [0.329, 0.021, 0.643], [0.333, 0.667, 0.902], [0.667, 0.333, 0.098], [0.671, 0.979, 0.357], [0.692, 0.671, 0.643], [0.979, 0.308, 0.643]]
}

Entry 14:
{
  "formula": "KNiPS2",
  "functional": "PBE",
  "state": "relaxed",
  "total_magnetization_mub_per_cell": 6.03,
  "n_ef_per_ev_atom": 2.37,
  "sg": "P4/mmm, No. 123",
  "relative_energy_mev_per_atom": 1920.5,
  "lattice": [[5.603, 0.000, 0.000], [0.000, 5.603, 0.000], [0.000, 0.000, 5.824]],
  "species": ["K", "Ni", "P", "S", "S"],
  "frac_coords": [[0.000, 0.000, 0.000], [0.500, 0.500, 0.500], [0.000, 0.000, 0.500], [0.000, 0.500, 0.000], [0.500, 0.000, 0.000]]
}

Entry 15:
{
  "formula": "KNiPS2",
  "functional": "PBE",
  "state": "relaxed",
  "total_magnetization_mub_per_cell": 0.00,
  "n_ef_per_ev_atom": 0.70,
  "sg": "P4/mmm, No. 123",
  "relative_energy_mev_per_atom": 0.0,
  "lattice": [[4.900, 0.000, 0.000], [0.000, 4.900, 0.000], [0.000, 0.000, 4.203]],
  "species": ["K", "Ni", "P", "S", "S"],
  "frac_coords": [[0.000, 0.000, 0.000], [0.500, 0.500, 0.500], [0.500, 0.500, 0.000], [0.000, 0.500, 0.500], [0.500, 0.000, 0.500]]
}

Entry 16:
{
  "formula": "KNi4SbP2",
  "functional": "PBE",
  "state": "relaxed",
  "total_magnetization_mub_per_cell": 0.00,
  "n_ef_per_ev_atom": 1.00,
  "sg": "P4/mmm, No. 123",
  "dft_energy_ev_per_cell": -41.96,
  "lattice": [[3.746, 0.000, 0.000], [0.000, 3.746, 0.000], [0.000, 0.000, 10.157]],
  "species": ["K", "Ni", "Ni", "Ni", "Ni", "Sb", "P", "P"],
  "frac_coords": [[0.000, 0.000, 0.000], [0.000, 0.500, 0.321], [0.000, 0.500, 0.679], [0.500, 0.000, 0.321], [0.500, 0.000, 0.679], [0.000, 0.000, 0.500], [0.500, 0.500, 0.207], [0.500, 0.500, 0.793]]
}

Entry 17:
{
  "formula": "K2NiPSe4",
  "functional": "PBE",
  "state": "relaxed",
  "total_magnetization_mub_per_cell": 2.00,
  "n_ef_per_ev_atom": 0.47,
  "sg": "Fddd, No. 70",
  "dft_energy_ev_per_cell": -62.68,
  "lattice": [[0.000, 6.592, 11.564], [3.155, 0.000, 11.564], [3.155, 6.592, 0.000]],
  "species": ["K", "K", "K", "K", "Ni", "Ni", "P", "P", "Se", "Se", "Se", "Se", "Se", "Se", "Se", "Se"],
  "frac_coords": [[0.053, 0.053, 0.697], [0.303, 0.303, 0.947], [0.697, 0.697, 0.053], [0.947, 0.947, 0.303], [0.125, 0.125, 0.125], [0.875, 0.875, 0.875], [0.375, 0.375, 0.375], [0.625, 0.625, 0.625], [0.003, 0.344, 0.446], [0.293, 0.554, 0.656], [0.344, 0.003, 0.707], [0.446, 0.707, 0.003], [0.554, 0.293, 0.997], [0.656, 0.997, 0.293], [0.707, 0.446, 0.344], [0.997, 0.656, 0.554]]
}

Entry 18:
{
  "formula": "KNiP2Se8",
  "functional": "PBE",
  "state": "relaxed",
  "total_magnetization_mub_per_cell": 0.00,
  "n_ef_per_ev_atom": 0.65,
  "sg": "P-3, No. 147",
  "dft_energy_ev_per_cell": -47.63,
  "lattice": [[5.839, 0.000, 0.000], [-2.920, 5.057, 0.000], [0.000, 0.000, 11.004]],
  "species": ["K", "Ni", "P", "P", "Se", "Se", "Se", "Se", "Se", "Se", "Se", "Se"],
  "frac_coords": [[0.000, 0.000, 0.000], [0.000, 0.000, 0.500], [0.333, 0.667, 0.709], [0.667, 0.333, 0.291], [0.046, 0.703, 0.360], [0.297, 0.342, 0.360], [0.333, 0.667, 0.905], [0.342, 0.046, 0.640], [0.658, 0.954, 0.360], [0.667, 0.333, 0.095], [0.703, 0.658, 0.640], [0.954, 0.297, 0.640]]
}

Entry 19:
{
  "formula": "KSi2NiP",
  "functional": "PBE",
  "state": "relaxed",
  "total_magnetization_mub_per_cell": 0.00,
  "n_ef_per_ev_atom": 0.79,
  "sg": "P4/mmm, No. 123",
  "dft_energy_ev_per_cell": -21.26,
  "lattice": [[4.488, 0.000, 0.000], [0.000, 4.488, 0.000], [0.000, 0.000, 4.953]],
  "species": ["K", "Si", "Si", "Ni", "P"],
  "frac_coords": [[0.000, 0.000, 0.000], [0.000, 0.500, 0.500], [0.500, 0.000, 0.500], [0.500, 0.500, 0.500], [0.500, 0.500, 0.000]]
}

Entry 20:
{
  "formula": "KSrNi2P",
  "functional": "PBE",
  "state": "relaxed",
  "ef_mev_per_atom": 136,
  "total_magnetization_mub_per_cell": 0.35,
  "n_ef_per_ev_atom": 1.17,
  "sg": "P4/mmm, No. 123",
  "lattice": [[4.488, 0.000, 0.000], [0.000, 4.488, 0.000], [0.000, 0.000, 5.589]],
  "species": ["K", "Sr", "Ni", "Ni", "P"],
  "frac_coords": [[0.000, 0.000, 0.000], [0.500, 0.500, 0.000], [0.000, 0.500, 0.500], [0.500, 0.000, 0.500], [0.500, 0.500, 0.500]]
}

Entry 21:
{
  "formula": "KNiTeP2",
  "functional": "PBE",
  "state": "relaxed",
  "total_magnetization_mub_per_cell": 1.19,
  "n_ef_per_ev_atom": 2.24,
  "sg": "P4/mmm, No. 123",
  "dft_energy_ev_per_cell": -14.39,
  "lattice": [[5.044, 0.000, 0.000], [0.000, 5.044, 0.000], [0.000, 0.000, 5.966]],
  "species": ["K", "Ni", "Te", "P", "P"],
  "frac_coords": [[0.000, 0.000, 0.000], [0.500, 0.500, 0.000], [0.000, 0.000, 0.500], [0.000, 0.500, 0.500], [0.500, 0.000, 0.500]]
}

Entry 22:
{
  "formula": "KVNi2P",
  "functional": "PBE",
  "state": "relaxed",
  "ef_mev_per_atom": 2213,
  "total_magnetization_mub_per_cell": 0.05,
  "n_ef_per_ev_atom": 1.66,
  "sg": "P4/mmm, No. 123",
  "lattice": [[4.203, 0.000, 0.000], [0.000, 4.203, 0.000], [0.000, 0.000, 5.415]],
  "species": ["K", "V", "Ni", "Ni", "P"],
  "frac_coords": [[0.000, 0.000, 0.000], [0.500, 0.500, 0.500], [0.000, 0.500, 0.000], [0.500, 0.000, 0.000], [0.000, 0.000, 0.500]]
}

Entry 23:
{
  "formula": "KPa2NiS8",
  "functional": "PBE",
  "state": "relaxed",
  "total_magnetization_mub_per_cell": 0.00,
  "n_ef_per_ev_atom": 0.21,
  "sg": "P-3m1, No. 164",
  "dft_energy_ev_per_cell": -70.78,
  "lattice": [[5.920, 0.000, 0.000], [-2.960, 5.127, 0.000], [0.000, 0.000, 9.040]],
  "species": ["K", "Pa", "Pa", "Ni", "S", "S", "S", "S", "S", "S", "S", "S"],
  "frac_coords": [[0.000, 0.000, 0.000], [0.333, 0.667, 0.379], [0.667, 0.333, 0.621], [0.000, 0.000, 0.500], [0.174, 0.347, 0.649], [0.174, 0.826, 0.649], [0.333, 0.667, 0.112], [0.347, 0.174, 0.351], [0.653, 0.826, 0.649], [0.667, 0.333, 0.888], [0.826, 0.174, 0.351], [0.826, 0.653, 0.351]]
}

Entry 24:
{
  "formula": "K2PaNiS5",
  "functional": "PBE",
  "state": "relaxed",
  "total_magnetization_mub_per_cell": 0.00,
  "n_ef_per_ev_atom": 0.52,
  "sg": "Cmc2_1, No. 36",
  "dft_energy_ev_per_cell": -95.78,
  "lattice": [[2.011, -9.623, 0.000], [2.011, 9.623, 0.000], [0.000, 0.000, 13.374]],
  "species": ["K", "K", "K", "K", "Pa", "Pa", "Ni", "Ni", "S", "S", "S", "S", "S", "S", "S", "S", "S", "S"],
  "frac_coords": [[0.121, 0.879, 0.500], [0.124, 0.876, 0.846], [0.876, 0.124, 0.346], [0.879, 0.121, 0.000], [0.202, 0.798, 0.181], [0.798, 0.202, 0.681], [0.415, 0.585, 0.557], [0.585, 0.415, 0.057], [0.066, 0.934, 0.121], [0.299, 0.701, 0.546], [0.312, 0.688, 0.810], [0.332, 0.668, 0.176], [0.494, 0.506, 0.449], [0.506, 0.494, 0.949], [0.668, 0.332, 0.676], [0.688, 0.312, 0.310], [0.701, 0.299, 0.046], [0.934, 0.066, 0.621]]
}